YAuSe2N: relaxed, PBE.

POSCAR file:
```
YAuSe2N
1.0
5.247 0.000 0.000
0.000 5.247 0.000
0.000 0.000 3.961
Y Au Se N
1 1 2 1
direct
0.000 0.000 0.000
0.500 0.500 0.500
0.000 0.500 0.500
0.500 0.000 0.500
0.500 0.500 0.000
```

Values from the calculation:
raw formation energy	0.6	eV per formula unit
DFT total energy	-24.39	eV per formula unit
energy relative to the lowest polymorph listed for this composition	0.0	meV per atom